# MgBe2Pt2 PBE optimized geometry
data_MgBe2Pt2
_space_group_name_H-M_alt 'P 4/m b m'
_space_group_IT_number 127
_space_group_name_Hall '-P 4 2ab'
_cell_length_a 6.9183
_cell_length_b 6.9183
_cell_length_c 2.7626
_cell_angle_alpha 90.00
_cell_angle_beta 90.00
_cell_angle_gamma 90.00
loop_
_atom_site_label
_atom_site_fract_x
_atom_site_fract_y
_atom_site_fract_z
Mg1 0.0000 0.0000 0.0000
Be1 0.1414 0.3586 0.5000
Pt1 0.1523 0.6523 0.0000
# Energy above the lowest structure with this stoichiometry ... 115.4 meV per atom
# ΔH_f (0 K) ... -0.65 eV/atom


# LaTm3Sb4 PBE optimized geometry
data_LaTm3Sb4
_space_group_name_H-M_alt 'C m m m'
_space_group_IT_number 65
_space_group_name_Hall '-C 2 2'
_cell_length_a 8.8192
_cell_length_b 12.4754
_cell_length_c 4.4196
_cell_angle_alpha 90.00
_cell_angle_beta 90.00
_cell_angle_gamma 90.00
loop_
_atom_site_label
_atom_site_fract_x
_atom_site_fract_y
_atom_site_fract_z
La1 0.0000 0.0000 0.0000
Tm1 0.0000 0.5000 0.0000
Tm2 0.2500 0.2500 0.5000
Sb1 0.0000 0.2556 0.0000
Sb2 0.2387 0.5000 0.5000
# Energy relative to the elements, uncorrected ... -1.1050 eV per atom


# Ta5Pt PBE optimized geometry
data_Ta5Pt
_space_group_name_H-M_alt 'P -6 2 m'
_space_group_IT_number 189
_space_group_name_Hall 'P -6 -2'
_cell_length_a 5.0093
_cell_length_b 5.0093
_cell_length_c 4.9754
_cell_angle_alpha 90.00
_cell_angle_beta 90.00
_cell_angle_gamma 120.00
loop_
_atom_site_label
_atom_site_fract_x
_atom_site_fract_y
_atom_site_fract_z
Ta1 0.0000 0.6681 0.0000
Ta2 0.3333 0.6667 0.5000
Pt1 0.0000 0.0000 0.5000
# Energy above the lowest structure with this stoichiometry ... 273.7 meV per atom
# ΔH_f (0 K) ... 0.00 eV/atom


# ThBiH PBE optimized geometry
data_ThBiH
_space_group_name_H-M_alt 'C 1 2/m 1'
_space_group_IT_number 12
_cell_length_a 10.0667
_cell_length_b 4.6623
_cell_length_c 8.1648
_cell_angle_alpha 90.00
_cell_angle_beta 111.54
_cell_angle_gamma 90.00
loop_
_space_group_symop_operation_xyz
'x,y,z'
'-x,-y,-z'
'-x,y,-z'
'x,-y,z'
'x+1/2,y+1/2,z'
'-x+1/2,-y+1/2,-z'
'-x+1/2,y+1/2,-z'
'x+1/2,-y+1/2,z'
loop_
_atom_site_label
_atom_site_fract_x
_atom_site_fract_y
_atom_site_fract_z
Th1 0.1011 0.0000 0.3368
Bi1 0.2333 0.0000 0.7735
H1 0.0408 0.0000 0.0002
# Energy above the lowest structure with this stoichiometry ... 695.1 meV per atom


Computed density (Mg/m³) in order:
10.86; 7.74; 16.89; 8.24